VASP calculation (PBE) on crystalline K2HgOs at its relaxed geometry. Values from VASP.

ΔE_f: 832 meV/atom
total magnetic moment: 0.0 μB per formula unit
DFT total energy: -2.600 eV/atom

```
&SYSTEM
  ibrav = 0, nat = 4, ntyp = 3
/
ATOMIC_SPECIES
K 39.10 K.upf
Hg 200.59 Hg.upf
Os 190.23 Os.upf
ATOMIC_POSITIONS crystal
K 0.0000 0.0000 0.0000
K 0.5000 0.5000 0.4243
Hg 0.5000 0.5000 0.7487
Os 0.0000 0.0000 0.6787
CELL_PARAMETERS angstrom
3.7026 0.0000 0.0000
0.0000 3.7026 0.0000
0.0000 0.0000 9.9343
```